Record 1
This record from Alexandria describes ScTcMo3 after structural relaxation. The functional is PBE.

Calculated values
**E_form**: 2123 meV/atom
**VASP energy**: -7.715 eV per atom

Geometry as CIF:
```
data_ScTcMo3
_cell_length_a 4.513
_cell_length_b 4.513
_cell_length_c 4.513
_cell_angle_alpha 90.00
_cell_angle_beta 90.00
_cell_angle_gamma 90.00
_space_group_name_H-M_alt 'P m -3 m'
_space_group_IT_number 221
_space_group_name_Hall '-P 4 2 3'
loop_
_atom_site_label
_atom_site_type_symbol
_atom_site_fract_x
_atom_site_fract_y
_atom_site_fract_z
Sc1 Sc 0.000 0.000 0.000
Tc1 Tc 0.500 0.500 0.500
Mo1 Mo 0.000 0.000 0.500
```

---

Record 2
This record from Alexandria describes Cs2SrPb2 after structural relaxation. The functional is PBE.

Calculated values
**E_form**: 119 meV/atom
**VASP energy**: -2.042 eV per atom

Geometry as CIF:
```
data_Cs2SrPb2
_cell_length_a 10.890
_cell_length_b 10.890
_cell_length_c 3.851
_cell_angle_alpha 90.00
_cell_angle_beta 90.00
_cell_angle_gamma 90.00
_space_group_name_H-M_alt 'P 4/m b m'
_space_group_IT_number 127
_space_group_name_Hall '-P 4 2ab'
loop_
_atom_site_label
_atom_site_type_symbol
_atom_site_fract_x
_atom_site_fract_y
_atom_site_fract_z
Cs1 Cs 0.121 0.379 0.000
Sr1 Sr 0.000 0.000 0.000
Pb1 Pb 0.179 0.679 0.500
```

---

Record 3
This record from Alexandria describes Pr4Au2Br5 after structural relaxation. The functional is PBE.

Calculated values
**Uncorrected formation energy**: -1.24 eV/atom
**VASP energy**: -4.336 eV per atom

Geometry as CIF:
```
data_Pr4Au2Br5
_cell_length_a 4.020
_cell_length_b 8.606
_cell_length_c 28.169
_cell_angle_alpha 90.00
_cell_angle_beta 90.00
_cell_angle_gamma 90.00
_space_group_name_H-M_alt 'I m m m'
_space_group_IT_number 71
_space_group_name_Hall '-I 2 2'
loop_
_atom_site_label
_atom_site_type_symbol
_atom_site_fract_x
_atom_site_fract_y
_atom_site_fract_z
Pr1 Pr 0.000 0.000 0.152
Pr2 Pr 0.000 0.288 0.500
Au1 Au 0.000 0.000 0.050
Br1 Br 0.000 0.270 0.320
Br2 Br 0.000 0.500 0.000
```

---

Record 4
This record from Alexandria describes TiSiIr3 after structural relaxation. The functional is PBE.

Calculated values
**Uncorrected formation energy**: 1.30 eV/atom
**VASP energy**: -6.683 eV per atom

Geometry as CIF:
```
data_TiSiIr3
_cell_length_a 4.589
_cell_length_b 4.589
_cell_length_c 4.589
_cell_angle_alpha 90.00
_cell_angle_beta 90.00
_cell_angle_gamma 90.00
_space_group_name_H-M_alt 'P m -3 m'
_space_group_IT_number 221
_space_group_name_Hall '-P 4 2 3'
loop_
_atom_site_label
_atom_site_type_symbol
_atom_site_fract_x
_atom_site_fract_y
_atom_site_fract_z
Ti1 Ti 0.000 0.000 0.000
Si1 Si 0.500 0.500 0.500
Ir1 Ir 0.000 0.000 0.500
```